[1]
! Nd12Tl3Ag | Alexandria via LeMat-Bulk | PBE | optimized geometry; values from VASP
! ΔE_f   -154.5 meV/atom
! Fermi-level density of states   1.4391 states/eV per atom
&SYSTEM
  ibrav = 0, nat = 16, ntyp = 3
/
ATOMIC_SPECIES
Nd 144.24 Nd.upf
Ag 107.87 Ag.upf
Tl 204.38 Tl.upf
ATOMIC_POSITIONS crystal
Nd 0.500 0.000 0.879
Nd 0.500 0.500 0.246
Nd 0.500 0.000 0.373
Nd 0.500 0.500 0.500
Nd 0.000 0.500 0.121
Nd 0.500 0.500 0.000
Ag 0.000 0.000 0.000
Tl 0.000 0.000 0.248
Nd 0.000 0.500 0.373
Tl 0.000 0.000 0.752
Nd 0.500 0.500 0.754
Nd 0.000 0.500 0.879
Tl 0.000 0.000 0.500
Nd 0.500 0.000 0.627
Nd 0.000 0.500 0.627
Nd 0.500 0.000 0.121
CELL_PARAMETERS angstrom
-4.012 -2.230 1.958
2.967 -2.929 2.744
-0.307 13.368 14.602

[2]
! Nd3Tl2Ag | Alexandria via LeMat-Bulk | PBE | optimized geometry; values from VASP
! Energy relative to the lowest polymorph listed for this composition   0 meV per atom
! ΔE_f   -333.1 meV/atom
! Fermi-level density of states   1.1503 states/eV per atom
&SYSTEM
  ibrav = 0, nat = 12, ntyp = 3
/
ATOMIC_SPECIES
Nd 144.24 Nd.upf
Ag 107.87 Ag.upf
Tl 204.38 Tl.upf
ATOMIC_POSITIONS crystal
Nd 0.000 0.000 0.256
Nd 0.333 0.667 0.910
Ag 0.333 0.667 0.664
Tl 0.000 0.000 0.000
Tl 0.333 0.667 0.167
Nd 0.000 0.000 0.744
Ag 0.667 0.333 0.336
Nd 0.333 0.667 0.416
Nd 0.667 0.333 0.584
Nd 0.667 0.333 0.090
Tl 0.667 0.333 0.833
Tl 0.000 0.000 0.500
CELL_PARAMETERS angstrom
5.452 0.000 0.000
-2.726 4.722 0.000
0.000 0.000 13.467

[3]
! Nd6TlAg | Alexandria via LeMat-Bulk | PBE | optimized geometry; values from VASP
! Energy relative to the lowest polymorph listed for this composition   69 meV per atom
! ΔE_f   -75.4 meV/atom
! Fermi-level density of states   1.0689 states/eV per atom
&SYSTEM
  ibrav = 0, nat = 8, ntyp = 3
/
ATOMIC_SPECIES
Nd 144.24 Nd.upf
Ag 107.87 Ag.upf
Tl 204.38 Tl.upf
ATOMIC_POSITIONS crystal
Nd 0.247 0.029 0.275
Ag 0.000 0.000 0.000
Nd 0.450 0.754 0.824
Tl 0.500 0.500 0.500
Nd 0.025 0.449 0.773
Nd 0.975 0.551 0.227
Nd 0.550 0.246 0.176
Nd 0.753 0.971 0.725
CELL_PARAMETERS angstrom
9.191 0.023 0.120
4.596 7.359 -0.152
4.545 2.349 3.698

[4]
! Nd4Tl2Ag | Alexandria via LeMat-Bulk | PBE | optimized geometry; values from VASP
! Energy relative to the lowest polymorph listed for this composition   73 meV per atom
! ΔE_f   -131.2 meV/atom
! Fermi-level density of states   0.9676 states/eV per atom
&SYSTEM
  ibrav = 0, nat = 7, ntyp = 3
/
ATOMIC_SPECIES
Tl 204.38 Tl.upf
Nd 144.24 Nd.upf
Ag 107.87 Ag.upf
ATOMIC_POSITIONS crystal
Tl 0.243 0.187 0.487
Nd 0.088 0.733 0.175
Nd 0.377 0.660 0.753
Tl 0.757 0.813 0.513
Nd 0.623 0.340 0.247
Nd 0.912 0.267 0.825
Ag 0.000 0.000 0.000
CELL_PARAMETERS angstrom
-1.445 1.398 -3.127
-6.484 1.616 3.719
6.777 5.574 1.570

[5]
! Nd2Tl2Ag | Alexandria via LeMat-Bulk | PBE | optimized geometry; values from VASP
! Energy relative to the lowest polymorph listed for this composition   68 meV per atom
! ΔE_f   -230.7 meV/atom
! Fermi-level density of states   0.8077 states/eV per atom
&SYSTEM
  ibrav = 0, nat = 10, ntyp = 3
/
ATOMIC_SPECIES
Nd 144.24 Nd.upf
Tl 204.38 Tl.upf
Ag 107.87 Ag.upf
ATOMIC_POSITIONS crystal
Nd 0.111 0.668 0.611
Tl 0.611 0.888 0.389
Nd 0.611 0.168 0.111
Tl 0.112 0.388 0.889
Ag 0.750 0.250 0.750
Tl 0.888 0.612 0.111
Nd 0.389 0.832 0.889
Nd 0.889 0.332 0.389
Tl 0.389 0.112 0.611
Ag 0.250 0.750 0.250
CELL_PARAMETERS angstrom
4.140 0.000 1.250
1.765 5.817 1.635
-1.223 0.069 11.526

[6]
! Nd6Tl5Ag | Alexandria via LeMat-Bulk | PBE | optimized geometry; values from VASP
! Energy relative to the lowest polymorph listed for this composition   136 meV per atom
! ΔE_f   -222.0 meV/atom
! Fermi-level density of states   0.8830 states/eV per atom
&SYSTEM
  ibrav = 0, nat = 12, ntyp = 3
/
ATOMIC_SPECIES
Nd 144.24 Nd.upf
Tl 204.38 Tl.upf
Ag 107.87 Ag.upf
ATOMIC_POSITIONS crystal
Nd 0.730 0.770 0.000
Nd 0.767 0.393 0.671
Tl 0.500 0.500 0.000
Tl 0.000 0.640 0.719
Tl 0.500 0.808 0.384
Tl 0.500 0.192 0.616
Ag 0.000 0.000 0.000
Tl 0.000 0.360 0.281
Nd 0.270 0.230 0.000
Nd 0.233 0.607 0.329
Nd 0.767 0.064 0.329
Nd 0.233 0.936 0.671
CELL_PARAMETERS angstrom
-9.282 0.665 -3.240
0.282 -2.397 -6.281
-0.954 -6.629 -1.118

[7]
! Nd3TlAg2 | Alexandria via LeMat-Bulk | PBE | optimized geometry; values from VASP
! ΔE_f   -296.7 meV/atom
! Fermi-level density of states   1.0703 states/eV per atom
&SYSTEM
  ibrav = 0, nat = 12, ntyp = 3
/
ATOMIC_SPECIES
Tl 204.38 Tl.upf
Nd 144.24 Nd.upf
Ag 107.87 Ag.upf
ATOMIC_POSITIONS crystal
Tl 0.667 0.333 0.330
Nd 0.667 0.333 0.077
Nd 0.667 0.333 0.583
Tl 0.333 0.667 0.670
Nd 0.000 0.000 0.757
Ag 0.000 0.000 0.000
Nd 0.333 0.667 0.923
Ag 0.667 0.333 0.831
Nd 0.333 0.667 0.417
Ag 0.000 0.000 0.500
Ag 0.333 0.667 0.169
Nd 0.000 0.000 0.243
CELL_PARAMETERS angstrom
5.387 0.000 0.000
-2.694 4.666 0.000
0.000 0.000 13.213

[8]
! Nd5Tl2Ag2 | Alexandria via LeMat-Bulk | PBE | optimized geometry; values from VASP
! ΔE_f   -220.9 meV/atom
! Fermi-level density of states   1.1466 states/eV per atom
&SYSTEM
  ibrav = 0, nat = 18, ntyp = 3
/
ATOMIC_SPECIES
Tl 204.38 Tl.upf
Nd 144.24 Nd.upf
Ag 107.87 Ag.upf
ATOMIC_POSITIONS crystal
Tl 0.000 0.211 0.422
Nd 0.843 0.548 0.731
Nd 0.657 0.318 0.269
Ag 0.875 0.374 0.000
Nd 0.343 0.682 0.731
Nd 0.000 0.000 0.000
Nd 0.157 0.182 0.731
Ag 0.125 0.626 0.000
Nd 0.657 0.048 0.731
Tl 0.500 0.711 0.422
Ag 0.625 0.874 0.000
Nd 0.157 0.452 0.269
Nd 0.500 0.500 0.000
Ag 0.375 0.126 0.000
Tl 0.500 0.289 0.578
Nd 0.343 0.952 0.269
Nd 0.843 0.818 0.269
Tl 0.000 0.789 0.578
CELL_PARAMETERS angstrom
-0.876 -3.628 6.599
8.652 -0.789 0.715
-3.998 7.647 3.674

[9]
! Nd2Tl2Ag | Alexandria via LeMat-Bulk | PBE | optimized geometry; values from VASP
! Energy relative to the lowest polymorph listed for this composition   0 meV per atom
! ΔE_f   -299.1 meV/atom
! Fermi-level density of states   0.8002 states/eV per atom
&SYSTEM
  ibrav = 0, nat = 10, ntyp = 3
/
ATOMIC_SPECIES
Nd 144.24 Nd.upf
Tl 204.38 Tl.upf
Ag 107.87 Ag.upf
ATOMIC_POSITIONS crystal
Nd 0.315 0.715 0.656
Tl 0.059 0.300 0.583
Nd 0.685 0.285 0.344
Tl 0.941 0.700 0.417
Nd 0.074 0.753 0.099
Nd 0.926 0.247 0.901
Tl 0.340 0.197 0.123
Ag 0.619 0.101 0.661
Tl 0.660 0.803 0.877
Ag 0.381 0.899 0.339
CELL_PARAMETERS angstrom
4.837 0.000 0.000
2.419 5.743 -0.535
2.419 -0.056 10.215

[10]
! Nd8Tl2Ag | Alexandria via LeMat-Bulk | PBE | optimized geometry; values from VASP
! Energy relative to the lowest polymorph listed for this composition   0 meV per atom
! ΔE_f   -176.5 meV/atom
! Fermi-level density of states   1.1949 states/eV per atom
&SYSTEM
  ibrav = 0, nat = 11, ntyp = 3
/
ATOMIC_SPECIES
Nd 144.24 Nd.upf
Ag 107.87 Ag.upf
Tl 204.38 Tl.upf
ATOMIC_POSITIONS crystal
Nd 0.789 0.399 0.579
Nd 0.409 0.588 0.818
Nd 0.970 0.237 0.939
Nd 0.668 0.907 0.335
Ag 0.500 0.000 0.000
Nd 0.211 0.601 0.421
Nd 0.591 0.412 0.182
Tl 0.155 0.154 0.309
Nd 0.332 0.093 0.665
Nd 0.030 0.763 0.061
Tl 0.845 0.846 0.691
CELL_PARAMETERS angstrom
5.236 0.000 -1.499
-0.130 6.949 -0.454
-0.063 0.043 9.673

[11]
! Nd3Tl2Ag4 | Alexandria via LeMat-Bulk | PBE | optimized geometry; values from VASP
! ΔE_f   -278.2 meV/atom
! Fermi-level density of states   0.6114 states/eV per atom
&SYSTEM
  ibrav = 0, nat = 9, ntyp = 3
/
ATOMIC_SPECIES
Tl 204.38 Tl.upf
Nd 144.24 Nd.upf
Ag 107.87 Ag.upf
ATOMIC_POSITIONS crystal
Tl 0.380 0.761 0.715
Nd 0.000 0.000 0.000
Ag 0.724 0.447 0.053
Ag 0.276 0.553 0.947
Ag 0.062 0.123 0.399
Nd 0.337 0.675 0.327
Nd 0.663 0.325 0.673
Tl 0.620 0.239 0.285
Ag 0.938 0.877 0.601
CELL_PARAMETERS angstrom
4.956 0.000 0.000
-2.478 5.509 -0.740
0.000 -3.453 8.667

[12]
! NdTl2Ag | Alexandria via LeMat-Bulk | PBE | optimized geometry; values from VASP
! ΔE_f   -222.7 meV/atom
! Fermi-level density of states   0.4744 states/eV per atom
&SYSTEM
  ibrav = 0, nat = 4, ntyp = 3
/
ATOMIC_SPECIES
Nd 144.24 Nd.upf
Tl 204.38 Tl.upf
Ag 107.87 Ag.upf
ATOMIC_POSITIONS crystal
Nd 0.500 0.500 0.500
Tl 0.000 0.000 0.500
Ag 0.500 0.000 0.000
Tl 0.000 0.500 0.000
CELL_PARAMETERS angstrom
-0.678 -0.651 -4.373
2.320 -4.239 0.271
-4.184 -2.227 0.980

[13]
! Nd6TlAg2 | Alexandria via LeMat-Bulk | PBE | optimized geometry; values from VASP
! ΔE_f   -164.1 meV/atom
! Fermi-level density of states   1.2555 states/eV per atom
&SYSTEM
  ibrav = 0, nat = 18, ntyp = 3
/
ATOMIC_SPECIES
Nd 144.24 Nd.upf
Ag 107.87 Ag.upf
Tl 204.38 Tl.upf
ATOMIC_POSITIONS crystal
Nd 0.280 0.957 0.677
Ag 0.500 0.369 0.869
Nd 0.912 0.729 0.183
Nd 0.547 0.729 0.817
Nd 0.797 0.245 0.043
Ag 0.500 0.631 0.131
Nd 0.203 0.245 0.448
Ag 0.640 0.000 0.640
Tl 0.000 0.000 0.000
Nd 0.453 0.271 0.183
Ag 0.360 0.000 0.360
Nd 0.203 0.755 0.957
Nd 0.720 0.398 0.677
Nd 0.088 0.271 0.817
Nd 0.797 0.755 0.552
Nd 0.720 0.043 0.323
Tl 0.000 0.500 0.500
Nd 0.280 0.602 0.323
CELL_PARAMETERS angstrom
8.976 0.155 0.021
-3.258 8.366 -0.021
-3.041 -4.138 7.364

[14]
! NdTl2Ag | Alexandria via LeMat-Bulk | PBE | optimized geometry; values from VASP
! ΔE_f   -149.9 meV/atom
! Fermi-level density of states   0.5580 states/eV per atom
&SYSTEM
  ibrav = 0, nat = 16, ntyp = 3
/
ATOMIC_SPECIES
Tl 204.38 Tl.upf
Nd 144.24 Nd.upf
Ag 107.87 Ag.upf
ATOMIC_POSITIONS crystal
Tl 0.920 0.420 0.839
Tl 0.692 0.345 0.384
Tl 0.080 0.580 0.161
Nd 0.500 0.303 0.000
Nd 0.500 0.697 0.000
Ag 0.144 0.885 0.288
Ag 0.856 0.115 0.712
Ag 0.856 0.597 0.712
Tl 0.308 0.655 0.616
Tl 0.692 0.040 0.384
Nd 0.706 0.706 0.412
Nd 0.294 0.294 0.588
Tl 0.308 0.960 0.616
Ag 0.144 0.403 0.288
Tl 0.084 0.084 0.167
Tl 0.916 0.916 0.833
CELL_PARAMETERS angstrom
-4.348 -1.031 -1.883
4.429 -2.168 -9.042
0.887 -6.835 7.939

[15]
! Nd3Tl3Ag2 | Alexandria via LeMat-Bulk | PBE | optimized geometry; values from VASP
! Energy relative to the lowest polymorph listed for this composition   0 meV per atom
! ΔE_f   -295.2 meV/atom
! Fermi-level density of states   0.7772 states/eV per atom
&SYSTEM
  ibrav = 0, nat = 8, ntyp = 3
/
ATOMIC_SPECIES
Tl 204.38 Tl.upf
Nd 144.24 Nd.upf
Ag 107.87 Ag.upf
ATOMIC_POSITIONS crystal
Tl 0.000 0.755 0.755
Tl 0.000 0.000 0.245
Nd 0.500 0.000 0.606
Tl 0.000 0.245 0.000
Nd 0.500 0.394 0.394
Ag 0.000 0.667 0.333
Nd 0.500 0.606 0.000
Ag 0.000 0.333 0.667
CELL_PARAMETERS angstrom
3.941 0.000 0.000
0.000 6.972 -4.026
0.000 0.000 8.051

[16]
! Nd12TlAg6 | Alexandria via LeMat-Bulk | PBE | optimized geometry; values from VASP
! ΔE_f   -123.6 meV/atom
! Fermi-level density of states   1.2499 states/eV per atom
&SYSTEM
  ibrav = 0, nat = 19, ntyp = 3
/
ATOMIC_SPECIES
Nd 144.24 Nd.upf
Ag 107.87 Ag.upf
Tl 204.38 Tl.upf
ATOMIC_POSITIONS crystal
Nd 0.475 0.191 0.284
Nd 0.809 0.284 0.094
Nd 0.906 0.191 0.716
Ag 0.500 0.869 0.369
Nd 0.716 0.525 0.809
Ag 0.131 0.631 0.500
Nd 0.525 0.809 0.716
Ag 0.631 0.500 0.131
Nd 0.191 0.284 0.475
Nd 0.284 0.094 0.809
Nd 0.191 0.716 0.906
Ag 0.869 0.369 0.500
Nd 0.284 0.475 0.191
Ag 0.369 0.500 0.869
Nd 0.809 0.716 0.525
Ag 0.500 0.131 0.631
Nd 0.716 0.906 0.191
Nd 0.094 0.809 0.284
Tl 0.000 0.000 0.000
CELL_PARAMETERS angstrom
-8.475 -1.423 2.919
5.852 -4.138 5.568
1.708 8.913 -0.103

[17]
! Nd5TlAg2 | Alexandria via LeMat-Bulk | PBE | optimized geometry; values from VASP
! ΔE_f   -204.2 meV/atom
! Fermi-level density of states   1.3267 states/eV per atom
&SYSTEM
  ibrav = 0, nat = 16, ntyp = 3
/
ATOMIC_SPECIES
Ag 107.87 Ag.upf
Nd 144.24 Nd.upf
Tl 204.38 Tl.upf
ATOMIC_POSITIONS crystal
Ag 0.132 0.368 0.000
Nd 0.304 0.804 0.297
Nd 0.506 0.696 0.703
Nd 0.696 0.196 0.703
Nd 0.196 0.006 0.703
Ag 0.368 0.868 0.000
Nd 0.994 0.494 0.297
Nd 0.000 0.000 0.000
Ag 0.868 0.632 0.000
Nd 0.804 0.994 0.297
Ag 0.632 0.132 0.000
Tl 0.750 0.750 0.500
Tl 0.250 0.250 0.500
Nd 0.500 0.500 0.000
Nd 0.006 0.506 0.703
Nd 0.494 0.304 0.297
CELL_PARAMETERS angstrom
-4.395 -3.236 6.430
-5.758 -2.940 -5.415
8.516 -2.654 -1.046

[18]
! NdTl2Ag | Alexandria via LeMat-Bulk | PBE | optimized geometry; values from VASP
! ΔE_f   -128.0 meV/atom
! Fermi-level density of states   0.5857 states/eV per atom
&SYSTEM
  ibrav = 0, nat = 4, ntyp = 3
/
ATOMIC_SPECIES
Tl 204.38 Tl.upf
Ag 107.87 Ag.upf
Nd 144.24 Nd.upf
ATOMIC_POSITIONS crystal
Tl 0.000 0.000 0.219
Tl 0.000 0.000 0.781
Ag 0.500 0.500 0.000
Nd 0.500 0.500 0.500
CELL_PARAMETERS angstrom
3.689 0.000 0.000
0.000 3.689 0.000
0.000 0.000 7.567

[19]
! Nd3Tl3Ag2 | Alexandria via LeMat-Bulk | PBE | optimized geometry; values from VASP
! Energy relative to the lowest polymorph listed for this composition   9 meV per atom
! ΔE_f   -286.0 meV/atom
! Fermi-level density of states   0.7405 states/eV per atom
&SYSTEM
  ibrav = 0, nat = 8, ntyp = 3
/
ATOMIC_SPECIES
Nd 144.24 Nd.upf
Tl 204.38 Tl.upf
Ag 107.87 Ag.upf
ATOMIC_POSITIONS crystal
Nd 0.858 0.358 0.715
Tl 0.360 0.860 0.719
Nd 0.142 0.642 0.285
Ag 0.245 0.246 0.490
Tl 0.500 0.500 0.000
Tl 0.640 0.140 0.281
Nd 0.000 0.000 0.000
Ag 0.755 0.754 0.510
CELL_PARAMETERS angstrom
4.659 0.000 0.000
0.000 5.018 -0.219
-2.330 -2.124 9.214

[20]
! Nd2TlAg | Alexandria via LeMat-Bulk | PBE | optimized geometry; values from VASP
! Energy relative to the lowest polymorph listed for this composition   0 meV per atom
! ΔE_f   -319.4 meV/atom
! Fermi-level density of states   1.0091 states/eV per atom
&SYSTEM
  ibrav = 0, nat = 4, ntyp = 3
/
ATOMIC_SPECIES
Ag 107.87 Ag.upf
Nd 144.24 Nd.upf
Tl 204.38 Tl.upf
ATOMIC_POSITIONS crystal
Ag 0.500 0.500 0.500
Nd 0.250 0.250 0.250
Tl 0.000 0.000 0.000
Nd 0.750 0.750 0.750
CELL_PARAMETERS angstrom
5.431 0.000 0.000
2.715 4.703 0.000
2.715 1.568 4.434

[21]
! Nd4TlAg3 | Alexandria via LeMat-Bulk | PBE | optimized geometry; values from VASP
! Energy relative to the lowest polymorph listed for this composition   0 meV per atom
! ΔE_f   -287.1 meV/atom
! Fermi-level density of states   1.0258 states/eV per atom
&SYSTEM
  ibrav = 0, nat = 8, ntyp = 3
/
ATOMIC_SPECIES
Ag 107.87 Ag.upf
Nd 144.24 Nd.upf
Tl 204.38 Tl.upf
ATOMIC_POSITIONS crystal
Ag 0.500 0.500 0.500
Nd 0.128 0.128 0.616
Tl 0.000 0.000 0.000
Nd 0.621 0.621 0.136
Nd 0.872 0.872 0.384
Ag 0.253 0.253 0.241
Nd 0.379 0.379 0.864
Ag 0.747 0.747 0.759
CELL_PARAMETERS angstrom
5.149 0.000 1.520
2.350 4.582 1.520
0.054 0.033 9.298